Record 1
Entry from Alexandria via LeMat-Bulk: an optimized crystal structure of Ca2In6Pb (PBE).

abc: 8.7957 8.7957 5.1277
angles: 106.72 106.72 44.62
Element x y z (fractional)
Ca  0.1147  0.1147  0.1151
Ca  0.8853  0.8853  0.8849
In  0.0615  0.5429  0.3015
In  0.2277  0.7723  0.5000
In  0.4571  0.9385  0.6985
In  0.5429  0.0615  0.3015
In  0.7723  0.2277  0.5000
In  0.9385  0.4571  0.6985
Pb  0.5000  0.5000  0.0000

Results
SG: C2/m
Final energy, eV/cell: -25.58


Record 2
Entry from Alexandria via LeMat-Bulk: an optimized crystal structure of CaIn8Pb6 (PBE).

abc: 8.5010 8.5010 8.5010
angles: 60.63 60.63 60.63
Element x y z (fractional)
Ca  0.0000  0.0000  0.0000
In  0.1168  0.6747  0.7990
In  0.2010  0.8832  0.3253
In  0.3253  0.2010  0.8832
In  0.4237  0.4237  0.4237
In  0.5763  0.5763  0.5763
In  0.6747  0.7990  0.1168
In  0.7990  0.1168  0.6747
In  0.8832  0.3253  0.2010
Pb  0.0694  0.5355  0.2672
Pb  0.2672  0.0694  0.5355
Pb  0.4645  0.7328  0.9306
Pb  0.5355  0.2672  0.0694
Pb  0.7328  0.9306  0.4645
Pb  0.9306  0.4645  0.7328

Results
SG: R-3
Final energy, eV/cell: -46.53


Record 3
Entry from Alexandria via LeMat-Bulk: an optimized crystal structure of CaIn2Pb3 (PBE).

abc: 7.9557 7.9557 4.9481
angles: 90.00 90.00 145.58
Element x y z (fractional)
Ca  0.0000  0.0000  0.0000
In  0.3319  0.6681  0.0000
In  0.6681  0.3319  0.0000
Pb  0.1669  0.8331  0.5000
Pb  0.5000  0.5000  0.5000
Pb  0.8331  0.1669  0.5000

Results
SG: Cmmm
Final energy, eV/cell: -19.64


Record 4
Entry from Alexandria via LeMat-Bulk: an optimized crystal structure of Ca2InPb (PBE).

abc: 3.7803 5.0336 6.7109
angles: 90.00 90.00 90.00
Element x y z (fractional)
Ca  0.0000  0.0000  0.0000
Ca  0.5000  0.5000  0.3271
In  0.0000  0.0000  0.5124
Pb  0.5000  0.5000  0.8098

Results
SG: Pmm2
Final energy, eV/cell: -11.49


Record 5
Entry from Alexandria via LeMat-Bulk: an optimized crystal structure of Ca2InPb3 (PBE).

abc: 3.5760 5.4865 9.3902
angles: 90.00 90.00 90.00
Element x y z (fractional)
Ca  0.0000  0.0000  0.0000
Ca  0.0000  0.5000  0.5000
In  0.5000  0.0000  0.3278
Pb  0.5000  0.0000  0.6558
Pb  0.5000  0.5000  0.1763
Pb  0.5000  0.5000  0.8345

Results
SG: Pmm2
Final energy, eV/cell: -19.65


Record 6
Entry from Alexandria via LeMat-Bulk: an optimized crystal structure of Ca2InPb (PBE).

abc: 3.8506 4.0099 7.6919
angles: 90.00 90.00 90.00
Element x y z (fractional)
Ca  0.0000  0.0000  0.2479
Ca  0.0000  0.0000  0.7521
In  0.5000  0.5000  0.0000
Pb  0.5000  0.5000  0.5000

Results
SG: Pmmm
Final energy, eV/cell: -12.41


Record 7
Entry from Alexandria via LeMat-Bulk: an optimized crystal structure of Ca8In2Pb (PBE).

abc: 9.8232 9.8232 7.7728
angles: 110.74 110.74 32.28
Element x y z (fractional)
Ca  0.0242  0.0242  0.2728
Ca  0.1964  0.1964  0.7884
Ca  0.3324  0.3324  0.5535
Ca  0.4007  0.4007  0.0491
Ca  0.5993  0.5993  0.9509
Ca  0.6676  0.6676  0.4465
Ca  0.8036  0.8036  0.2116
Ca  0.9758  0.9758  0.7272
In  0.1801  0.1801  0.1871
In  0.8199  0.8199  0.8129
Pb  0.5000  0.5000  0.5000

Results
SG: C2/m
Final energy, eV/cell: -29.09


Record 8
Entry from Alexandria via LeMat-Bulk: an optimized crystal structure of Ca6In2Pb (PBE).

abc: 10.5271 10.5271 5.4133
angles: 90.00 90.00 90.00
Element x y z (fractional)
Ca  0.0388  0.3061  0.0000
Ca  0.1190  0.8810  0.5000
Ca  0.1939  0.5388  0.5000
Ca  0.3061  0.0388  0.0000
Ca  0.3810  0.3810  0.0000
Ca  0.4612  0.8061  0.5000
Ca  0.5388  0.1939  0.5000
Ca  0.6190  0.6190  0.0000
Ca  0.6939  0.9612  0.0000
Ca  0.8061  0.4612  0.5000
Ca  0.8810  0.1190  0.5000
Ca  0.9612  0.6939  0.0000
In  0.2237  0.2237  0.5000
In  0.2763  0.7237  0.0000
In  0.7237  0.2763  0.0000
In  0.7763  0.7763  0.5000
Pb  0.0000  0.0000  0.0000
Pb  0.5000  0.5000  0.5000

Results
SG: P4_2/mnm
Final energy, eV/cell: -48.77


Record 9
Entry from Alexandria via LeMat-Bulk: an optimized crystal structure of Ca4In2Pb5 (PBE).

abc: 8.5032 3.6116 10.7420
angles: 90.00 94.58 90.00
Element x y z (fractional)
Ca  0.1846  0.0000  0.3872
Ca  0.2722  0.0000  0.9303
Ca  0.7278  0.0000  0.0697
Ca  0.8154  0.0000  0.6128
In  0.0680  0.5000  0.1318
In  0.9320  0.5000  0.8682
Pb  0.1728  0.5000  0.6601
Pb  0.4377  0.5000  0.1915
Pb  0.5000  0.5000  0.5000
Pb  0.5623  0.5000  0.8085
Pb  0.8272  0.5000  0.3399

Results
SG: P2/m
Final energy, eV/cell: -36.07


Record 10
Entry from Alexandria via LeMat-Bulk: an optimized crystal structure of Ca2In3Pb (PBE).

abc: 3.5934 5.0259 9.4640
angles: 90.00 90.00 90.00
Element x y z (fractional)
Ca  0.0000  0.0000  0.0000
Ca  0.0000  0.5000  0.4931
In  0.5000  0.0000  0.3282
In  0.5000  0.0000  0.6508
In  0.5000  0.5000  0.1693
Pb  0.5000  0.5000  0.8349

Results
SG: Pmm2
Final energy, eV/cell: -17.93


Record 11
Entry from Alexandria via LeMat-Bulk: an optimized crystal structure of Ca4InPb3 (PBE).

abc: 3.7951 3.7951 16.6933
angles: 90.00 90.00 90.00
Element x y z (fractional)
Ca  0.0000  0.0000  0.1164
Ca  0.0000  0.0000  0.3706
Ca  0.0000  0.0000  0.6294
Ca  0.0000  0.0000  0.8836
In  0.5000  0.5000  0.0000
Pb  0.5000  0.5000  0.2397
Pb  0.5000  0.5000  0.5000
Pb  0.5000  0.5000  0.7603

Results
SG: P4/mmm
Final energy, eV/cell: -25.93


Record 12
Entry from Alexandria via LeMat-Bulk: an optimized crystal structure of Ca2InPb (PBE).

abc: 7.3668 7.3668 7.3668
angles: 151.46 129.73 58.83
Element x y z (fractional)
Ca  0.2488  0.2488  0.0000
Ca  0.7512  0.7512  0.0000
In  0.0000  0.0000  0.0000
Pb  0.5000  0.5000  0.0000

Results
SG: Immm
Final energy, eV/cell: -9.93


Record 13
Entry from Alexandria via LeMat-Bulk: an optimized crystal structure of Ca2InPb (PBE).

abc: 3.9546 3.9546 8.4772
angles: 90.00 90.00 90.00
Element x y z (fractional)
Ca  0.0000  0.0000  0.0000
Ca  0.5000  0.5000  0.3394
In  0.0000  0.0000  0.5692
Pb  0.5000  0.5000  0.7586

Results
SG: P4mm
Final energy, eV/cell: -11.36


Record 14
Entry from Alexandria via LeMat-Bulk: an optimized crystal structure of Ca5InPb4 (PBE).

abc: 3.7897 3.7897 20.9377
angles: 90.00 90.00 90.00
Element x y z (fractional)
Ca  0.0000  0.0000  0.0000
Ca  0.0000  0.0000  0.2053
Ca  0.0000  0.0000  0.4069
Ca  0.0000  0.0000  0.5931
Ca  0.0000  0.0000  0.7947
In  0.5000  0.5000  0.5000
Pb  0.5000  0.5000  0.1032
Pb  0.5000  0.5000  0.3082
Pb  0.5000  0.5000  0.6918
Pb  0.5000  0.5000  0.8968

Results
SG: P4/mmm
Final energy, eV/cell: -32.79


Record 15
Entry from Alexandria via LeMat-Bulk: an optimized crystal structure of Ca4In9Pb11 (PBE).

abc: 14.8472 14.8472 3.6379
angles: 90.00 90.00 115.67
Element x y z (fractional)
Ca  0.0814  0.2626  0.0000
Ca  0.2626  0.0814  0.0000
Ca  0.7374  0.9186  0.0000
Ca  0.9186  0.7374  0.0000
In  0.0000  0.0000  0.0000
In  0.1169  0.6781  0.0000
In  0.2996  0.4819  0.0000
In  0.3219  0.8831  0.0000
In  0.4819  0.2996  0.0000
In  0.5181  0.7004  0.0000
In  0.6781  0.1169  0.0000
In  0.7004  0.5181  0.0000
In  0.8831  0.3219  0.0000
Pb  0.0955  0.4699  0.5000
Pb  0.1179  0.8821  0.5000
Pb  0.2789  0.2789  0.5000
Pb  0.3150  0.6850  0.5000
Pb  0.4699  0.0955  0.5000
Pb  0.5000  0.5000  0.5000
Pb  0.5301  0.9045  0.5000
Pb  0.6850  0.3150  0.5000
Pb  0.7211  0.7211  0.5000
Pb  0.8821  0.1179  0.5000
Pb  0.9045  0.5301  0.5000

Results
SG: Cmmm
Final energy, eV/cell: -76.17


Record 16
Entry from Alexandria via LeMat-Bulk: an optimized crystal structure of CaInPb6 (PBE).

abc: 6.9460 6.9460 5.0605
angles: 90.00 90.00 90.08
Element x y z (fractional)
Ca  0.0000  0.0000  0.0000
In  0.5000  0.5000  0.0000
Pb  0.0000  0.5000  0.0000
Pb  0.2574  0.7426  0.5000
Pb  0.2576  0.2576  0.5000
Pb  0.5000  0.0000  0.0000
Pb  0.7424  0.7424  0.5000
Pb  0.7426  0.2574  0.5000

Results
SG: Cmmm
Final energy, eV/cell: -28.04


Record 17
Entry from Alexandria via LeMat-Bulk: an optimized crystal structure of Ca3In2Pb3 (PBE).

abc: 6.5997 6.5997 15.9481
angles: 90.00 90.00 135.03
Element x y z (fractional)
Ca  0.0204  0.9796  0.7500
Ca  0.1435  0.8565  0.0248
Ca  0.1435  0.8565  0.4752
Ca  0.8565  0.1435  0.5248
Ca  0.8565  0.1435  0.9752
Ca  0.9796  0.0204  0.2500
In  0.3077  0.6923  0.6484
In  0.3077  0.6923  0.8516
In  0.6923  0.3077  0.1484
In  0.6923  0.3077  0.3516
Pb  0.2687  0.7313  0.2500
Pb  0.4463  0.5537  0.0959
Pb  0.4463  0.5537  0.4041
Pb  0.5537  0.4463  0.5959
Pb  0.5537  0.4463  0.9041
Pb  0.7313  0.2687  0.7500

Results
SG: Cmcm
Final energy, eV/cell: -50.40


Record 18
Entry from Alexandria via LeMat-Bulk: an optimized crystal structure of CaIn2Pb5 (PBE).

abc: 9.2184 9.2184 6.6452
angles: 111.12 111.12 84.55
Element x y z (fractional)
Ca  0.0000  0.5000  0.0000
Ca  0.5000  0.0000  0.5000
In  0.0515  0.6792  0.6153
In  0.3208  0.9485  0.8847
In  0.6792  0.0515  0.1153
In  0.9485  0.3208  0.3847
Pb  0.0722  0.9278  0.2500
Pb  0.2555  0.2556  0.2575
Pb  0.2556  0.2555  0.7575
Pb  0.3623  0.6374  0.4898
Pb  0.3626  0.6377  0.0102
Pb  0.6374  0.3623  0.9898
Pb  0.6377  0.3626  0.5102
Pb  0.7444  0.7445  0.2425
Pb  0.7445  0.7444  0.7425
Pb  0.9278  0.0722  0.7500

Results
SG: C2/c
Final energy, eV/cell: -53.43


Record 19
Entry from Alexandria via LeMat-Bulk: an optimized crystal structure of Ca5InPb6 (PBE).

abc: 9.2740 9.2740 5.0101
angles: 105.61 105.61 109.82
Element x y z (fractional)
Ca  0.0000  0.0000  0.0000
Ca  0.1716  0.8284  0.5000
Ca  0.3517  0.6483  0.0000
Ca  0.6483  0.3517  0.0000
Ca  0.8284  0.1716  0.5000
In  0.5000  0.5000  0.5000
Pb  0.0762  0.4160  0.2462
Pb  0.2410  0.2410  0.7397
Pb  0.4160  0.0762  0.2462
Pb  0.5840  0.9238  0.7538
Pb  0.7590  0.7590  0.2603
Pb  0.9238  0.5840  0.7538

Results
SG: C2/m
Final energy, eV/cell: -40.25


Record 20
Entry from Alexandria via LeMat-Bulk: an optimized crystal structure of Ca4InPb (PBE).

abc: 6.7087 6.7087 6.7087
angles: 60.00 60.00 60.00
Element x y z (fractional)
Ca  0.1252  0.1252  0.1252
Ca  0.1252  0.1252  0.6245
Ca  0.1252  0.6245  0.1252
Ca  0.6245  0.1252  0.1252
In  0.7500  0.7500  0.7500
Pb  0.5000  0.5000  0.5000

Results
SG: F-43m
Final energy, eV/cell: -13.62


| no. | energy of formation from the pure elements (eV/f.u.) | spin magnetization (μB per formula unit) |
| --- | --- | --- |
| 1 | -1.44 | 0.00 |
| 2 | -0.37 | 0.00 |
| 3 | -1.03 | 0.00 |
| 4 | -1.04 | 0.00 |
| 5 | -1.78 | 0.00 |
| 6 | -1.96 | 0.00 |
| 7 | -3.89 | 0.00 |
| 8 | -3.19 | 0.00 |
| 9 | -4.05 | 0.00 |
| 10 | -2.01 | 0.00 |
| 11 | -4.06 | 0.00 |
| 12 | 0.52 | 0.00 |
| 13 | -0.91 | 0.00 |
| 14 | -5.21 | 0.00 |
| 15 | -2.72 | 0.00 |
| 16 | -1.05 | 0.00 |
| 17 | -2.59 | 0.00 |
| 18 | -0.69 | 0.00 |
| 19 | -5.25 | 0.00 |
| 20 | 0.83 | 0.01 |